# HfAlI2O

HfAlI2O at its PBEsol-relaxed geometry (meta-GGA SCAN, Alexandria).

abc: 5.7590 5.7590 3.9351
angles: 90.00 90.00 90.00
Positions (direct):
Hf  0.0000  0.0000  0.0000
Al  0.5000  0.5000  0.5000
I  0.0000  0.5000  0.0000
I  0.5000  0.0000  0.0000
O  0.0000  0.0000  0.5000

## Properties
Its space group is No. 123. The value obtained for the uncorrected energy is -30.955 eV/atom. The volume is 26.102 Å³ per atom.

# HfAlSb2I

HfAlSb2I at its PBEsol-relaxed geometry (meta-GGA SCAN, Alexandria).

abc: 5.1600 5.1600 5.2255
angles: 90.00 90.00 90.00
Positions (direct):
Hf  0.0000  0.0000  0.0000
Al  0.5000  0.5000  0.5000
Sb  0.0000  0.5000  0.5000
Sb  0.5000  0.0000  0.5000
I  0.5000  0.5000  0.0000

## Properties
Its space group is No. 123. The value obtained for the uncorrected energy is -35.555 eV/atom. The volume is 27.826 Å³ per atom.

# Hf2Al2Ir

Hf2Al2Ir at its PBEsol-relaxed geometry (meta-GGA SCAN, Alexandria).

abc: 6.4728 6.4728 4.1051
angles: 90.00 90.00 90.00
Positions (direct):
Hf  0.1699  0.3301  0.0000
Hf  0.3301  0.8301  0.0000
Hf  0.6699  0.1699  0.0000
Hf  0.8301  0.6699  0.0000
Al  0.1370  0.6370  0.5000
Al  0.3630  0.1370  0.5000
Al  0.6370  0.8630  0.5000
Al  0.8630  0.3630  0.5000
Ir  0.0000  0.0000  0.5000
Ir  0.5000  0.5000  0.5000

## Properties
Its space group is No. 127. The value obtained for the uncorrected energy is -43.095 eV/atom. The volume is 17.199 Å³ per atom.

> uncorrected energy of number 1 (HfAlI2O)?

-30.955 eV/atom

Please write out number 1 again, unchanged.
# HfAlI2O

HfAlI2O at its PBEsol-relaxed geometry (meta-GGA SCAN, Alexandria).

abc: 5.7590 5.7590 3.9351
angles: 90.00 90.00 90.00
Positions (direct):
Hf  0.0000  0.0000  0.0000
Al  0.5000  0.5000  0.5000
I  0.0000  0.5000  0.0000
I  0.5000  0.0000  0.0000
O  0.0000  0.0000  0.5000

## Properties
Its space group is No. 123. The value obtained for the uncorrected energy is -30.955 eV/atom. The volume is 26.102 Å³ per atom.

> Which value of uncorrected energy does entry 2 give?

-35.555 eV/atom